1.
The following is a PBE-GGA calculation of Zr2BeTe after structural relaxation, from Alexandria.

Unit cell a=5.104 b=5.104 c=5.104 alpha=128.87 beta=128.87 gamma=75.22
Sites, in units of the cell vectors:
Be (0.250, 0.750, 0.500)
Te (0.750, 0.250, 0.500)
Zr (0.000, 0.000, 0.000)
Zr (0.500, 0.500, 0.000)

Properties
The offset from the most stable computed form is 0.278 eV/atom.

2.
The following is a PBE-GGA calculation of NaAlHg2Bi after structural relaxation, from Alexandria.

Unit cell a=5.269 b=5.269 c=5.640 alpha=90.00 beta=90.00 gamma=90.00
Sites, in units of the cell vectors:
Na (0.500, 0.500, 0.500)
Al (0.000, 0.000, 0.000)
Bi (0.000, 0.000, 0.500)
Hg (0.000, 0.500, 0.000)
Hg (0.500, 0.000, 0.000)

Properties
The formation energy comes out at 0.0512 eV per atom.

3.
The following is a PBE-GGA calculation of Er12Th7Sc after structural relaxation, from Alexandria.

Unit cell a=8.634 b=8.634 c=8.634 alpha=88.80 beta=88.80 gamma=88.80
Sites, in units of the cell vectors:
Er (0.766, 0.222, 0.630)
Er (0.778, 0.370, 0.234)
Er (0.455, 0.122, 0.345)
Er (0.878, 0.655, 0.545)
Er (0.370, 0.234, 0.778)
Er (0.655, 0.545, 0.878)
Er (0.345, 0.455, 0.122)
Er (0.630, 0.766, 0.222)
Er (0.122, 0.345, 0.455)
Er (0.545, 0.878, 0.655)
Er (0.222, 0.630, 0.766)
Er (0.234, 0.778, 0.370)
Th (0.996, 0.655, 0.106)
Th (0.345, 0.894, 0.004)
Th (0.894, 0.004, 0.345)
Th (0.500, 0.500, 0.500)
Th (0.106, 0.996, 0.655)
Th (0.655, 0.106, 0.996)
Th (0.004, 0.345, 0.894)
Sc (0.000, 0.000, 0.000)

Properties
The formation energy comes out at 0.2443 eV per atom.

4.
The following is a PBE-GGA calculation of Pm12SmIr4 after structural relaxation, from Alexandria.

Unit cell a=9.058 b=9.058 c=9.058 alpha=109.47 beta=109.47 gamma=109.47
Sites, in units of the cell vectors:
Pm (0.826, 0.315, 0.141)
Pm (0.315, 0.488, 0.174)
Pm (0.859, 0.174, 0.685)
Pm (0.315, 0.141, 0.826)
Pm (0.141, 0.826, 0.315)
Pm (0.685, 0.512, 0.826)
Pm (0.488, 0.174, 0.315)
Pm (0.512, 0.826, 0.685)
Pm (0.685, 0.859, 0.174)
Pm (0.826, 0.685, 0.512)
Pm (0.174, 0.315, 0.488)
Pm (0.174, 0.685, 0.859)
Sm (0.000, 0.000, 0.000)
Ir (0.000, 0.500, 0.000)
Ir (0.500, 0.000, 0.000)
Ir (0.500, 0.500, 0.500)
Ir (0.000, 0.000, 0.500)

Properties
The formation energy comes out at -0.2702 eV per atom.

5.
The following is a PBE-GGA calculation of U4Ge8Rh after structural relaxation, from Alexandria.

Unit cell a=4.036 b=4.160 c=15.643 alpha=90.00 beta=90.00 gamma=90.00
Site moments in Bohr magnetons follow the coordinates.
Sites, in units of the cell vectors:
U (0.000, 0.000, 0.091)  1.79
U (0.000, 0.500, 0.612)  1.83
U (0.500, 0.500, 0.400)  2.18
U (0.500, 0.000, 0.897)  1.86
Ge (0.000, 0.000, 0.469)  -0.03
Ge (0.000, 0.500, 0.934)  -0.03
Ge (0.500, 0.500, 0.049)  -0.02
Ge (0.500, 0.000, 0.575)  -0.02
Ge (0.000, 0.500, 0.227)  -0.03
Ge (0.000, 0.000, 0.754)  -0.02
Ge (0.500, 0.000, 0.225)  -0.02
Ge (0.500, 0.500, 0.756)  -0.01
Rh (0.000, 0.000, 0.314)  -0.13

Properties
The formation energy comes out at -0.2593 eV per atom.

6.
The following is a PBE-GGA calculation of Re2MoRh after structural relaxation, from Alexandria.

Unit cell a=4.817 b=4.817 c=2.745 alpha=90.00 beta=90.00 gamma=109.84
Sites, in units of the cell vectors:
Mo (0.000, 0.500, 0.500)
Re (0.000, 0.000, 0.000)
Re (0.500, 0.500, 0.000)
Rh (0.500, 0.000, 0.500)

Properties
The offset from the most stable computed form is 0.065 eV/atom. The formation energy comes out at 0.0273 eV per atom.

7.
The following is a PBE-GGA calculation of AcNdSnPd after structural relaxation, from Alexandria.

Unit cell a=5.486 b=5.486 c=5.486 alpha=60.00 beta=60.00 gamma=60.00
Sites, in units of the cell vectors:
Ac (0.000, 0.000, 0.000)
Nd (0.500, 0.500, 0.500)
Sn (0.250, 0.250, 0.250)
Pd (0.750, 0.750, 0.750)

Properties
The formation energy comes out at -0.6334 eV per atom.

8.
The following is a PBE-GGA calculation of EuDyTm2 after structural relaxation, from Alexandria.

Unit cell a=5.685 b=5.685 c=5.685 alpha=60.00 beta=60.00 gamma=60.00
Site moments in Bohr magnetons follow the coordinates.
Sites, in units of the cell vectors:
Eu (0.000, 0.000, 0.000)  -6.85
Tm (0.250, 0.250, 0.250)  -0.10
Tm (0.750, 0.750, 0.750)  -0.10
Dy (0.500, 0.500, 0.500)  -0.05

Properties
The offset from the most stable computed form is 0.095 eV/atom. The formation energy comes out at 0.1648 eV per atom.